Record 1
Here is a relaxed NaVGa2 crystal from the Alexandria database. Energies are from PBE.

POSCAR file:
```
NaVGa2
1.0
-1.285 1.761 3.926
-1.997 -3.873 1.084
6.204 -4.012 6.400
Na Ga V
2 4 2
Cartesian
-1.641 -1.056 2.505
1.283 -4.471 4.994
0.359 -0.195 4.615
0.281 -3.395 2.342
3.639 -3.381 6.561
1.564 -5.277 9.300
0.000 0.000 0.000
1.639 -1.653 6.415
```

Values from the calculation:
For the energy above the most stable polymorph in this dataset, the calculation gives 556.7 meV/atom. The calculation puts the calculated volume at 23.30 Å³/atom. For the density of states at the Fermi level, the calculation gives 1.016 states/eV per atom. The value obtained for the formation energy is 0.5254 eV per atom.



Record 2
Here is a relaxed NaVGa2 crystal from the Alexandria database. Energies are from PBE.

POSCAR file:
```
NaVGa2
1.0
2.159 -3.881 -1.303
-2.064 -4.102 0.579
-1.514 -2.368 -3.677
Na Ga V
1 2 1
Cartesian
0.000 0.000 0.000
-0.355 -2.588 -1.100
-1.064 -7.764 -3.301
-0.710 -5.176 -2.201
```

Values from the calculation:
For the energy above the most stable polymorph in this dataset, the calculation gives 230.5 meV/atom. The calculation puts the calculated volume at 17.53 Å³/atom. For the density of states at the Fermi level, the calculation gives 0.623 states/eV per atom. The value obtained for the formation energy is 0.1992 eV per atom.